Material: NiCl2O6
Method: DFT, PBE+U
State: relaxed

Lattice parameters (Å, degrees): 6.8798 6.8798 7.2023 118.21 118.21 57.98
Atoms (fractional coordinates):
Ni 0.0000 0.0000 0.0000
Cl 0.1810 0.1810 0.0290
Cl 0.8190 0.8190 0.9710
O 0.0794 0.2644 0.5451
O 0.2644 0.0794 0.5451
O 0.4830 0.4830 0.5667
O 0.5170 0.5170 0.4333
O 0.7356 0.9206 0.4549
O 0.9206 0.7356 0.4549

The symmetry is No. 12. The value obtained for the energy above the most stable polymorph in this dataset is 0.0000 eV/atom.